Ba2MgAl12Ir3: optimized geometry, GGA-PBE.

The structure in extended XYZ format:
```
18
Lattice="4.700 2.714 6.308 -4.700 2.714 6.308 0.000 -5.428 6.308" Properties=species:S:1:pos:R:3 pbc="T T T"
Ba 0.000 0.000 1.995
Ba 0.000 0.000 16.930
Mg 0.000 0.000 9.462
Al -2.249 -1.299 8.738
Al 0.000 -1.774 6.560
Al -1.537 0.887 6.560
Al 0.000 -2.597 10.187
Al -2.249 1.299 10.187
Al -1.537 -0.887 12.364
Al 1.537 0.887 6.560
Al 2.249 -1.299 8.738
Al 0.000 2.597 8.738
Al 1.537 -0.887 12.364
Al 0.000 1.774 12.364
Al 2.249 1.299 10.187
Ir -2.350 -1.357 6.308
Ir -2.350 1.357 12.616
Ir 0.000 2.714 6.308
```

Calculated values
raw total energy	-4.328	eV per atom
formation enthalpy at 0 K	-0.054	eV/atom
DOS at the Fermi energy	5.57	states/eV per cell
total magnetic moment	0.00	μB/f.u.
crystal system	trigonal